This record from the Alexandria database describes an optimized crystal structure of Dy2Y3Ho6Sc. The functional is GGA-PBE.

Structure (CIF):
```
data_Dy2Y3Ho6Sc
_chemical_formula_sum 'Dy2 Y3 Ho6 Sc1'
_space_group_name_H-M_alt 'P 1'
_space_group_IT_number 1
_space_group_name_Hall 'P 1'
_cell_length_a 6.090
_cell_length_b 6.090
_cell_length_c 11.663
_cell_angle_alpha 94.98
_cell_angle_beta 94.98
_cell_angle_gamma 119.95
loop_
_atom_site_label
_atom_site_fract_x
_atom_site_fract_y
_atom_site_fract_z
Dy1 0.333 0.667 0.000
Dy2 0.667 0.333 0.000
Y1 0.166 0.834 0.500
Y2 0.834 0.166 0.500
Y3 0.500 0.500 0.500
Ho1 0.918 0.587 0.754
Ho2 0.751 0.751 0.247
Ho3 0.082 0.413 0.246
Ho4 0.587 0.918 0.754
Ho5 0.249 0.249 0.753
Ho6 0.413 0.082 0.246
Sc1 0.000 0.000 0.000
```

Output
For the magnetization, the calculation gives 0.0 μB/cell. The calculation puts the electronic total energy at -5.17 eV per atom. The density is 7.317 g/cm³.